Entry 1:
The following is a DFT calculation (PBE) of a geometry-optimized Co2As2P structure.

## Properties
As for the energy above the lowest structure with this stoichiometry: 0.2107 eV per atom. For the calculated volume, the calculation gives 15.05 Å³/atom. The crystal system is tetragonal. The total energy is -55.22 eV per cell.

abc: 3.9657 3.9657 9.5684
angles: 90.00 90.00 90.00
Last column: nearest neighbours and their distance in Å.
Space group I4/mmm (No. 139)
One atom of each set of equivalent atoms:
Co: 0.0000 0.5000 0.2500  4 As 2.31
As: 0.0000 0.0000 0.1258  4 Co 2.31, 1 As 2.41
P: 0.0000 0.0000 0.5000  8 As 3.05, 8 Co 3.11

Entry 2:
The following is a DFT calculation (PBE) of a geometry-optimized LiCBr3 structure.

## Properties
As for the energy above the lowest structure with this stoichiometry: 0.7243 eV per atom. For the calculated volume, the calculation gives 24.09 Å³/atom. The crystal system is cubic. The total energy is -10.21 eV per cell. Its formation energy from raw total energies is 1189 meV per atom.

abc: 4.9388 4.9388 4.9388
angles: 90.00 90.00 90.00
Last column: nearest neighbours and their distance in Å.
Space group Pm-3m (No. 221)
One atom of each set of equivalent atoms:
Li: 0.0000 0.0000 0.0000  6 Br 2.47
C: 0.5000 0.5000 0.5000  12 Br 3.49
Br: 0.0000 0.0000 0.5000  2 Li 2.47

Entry 3:
The following is a DFT calculation (PBE) of a geometry-optimized In2AgH2 structure.

## Properties
As for the energy above the lowest structure with this stoichiometry: 0.2083 eV per atom. For the calculated volume, the calculation gives 15.58 Å³/atom. The crystal system is tetragonal. The total energy is -27.03 eV per cell.

abc: 3.4233 3.4233 13.2961
angles: 90.00 90.00 90.00
Last column: nearest neighbours and their distance in Å.
Space group I4/mmm (No. 139)
One atom of each set of equivalent atoms:
In: 0.0000 0.0000 0.1421  4 H 2.23
Ag: 0.0000 0.0000 0.5000  8 In 3.07, 4 Ag 3.42
H: 0.0000 0.5000 0.2500  4 In 2.23, 4 H 2.42

Entry 4:
The following is a DFT calculation (PBE) of a geometry-optimized Ca3Ce2TmTe6 structure.

## Properties
For the calculated volume, the calculation gives 31.64 Å³/atom. The crystal system is monoclinic. The total energy is -116.95 eV per cell. Its formation energy from raw total energies is -1440 meV per atom.

abc: 19.6092 4.4284 9.0369
angles: 90.00 104.62 90.00
Last column: nearest neighbours and their distance in Å.
Space group C2/m (No. 12)
One atom of each set of equivalent atoms:
Ca: 0.0000 0.0000 0.0000  6 Te 3.10-3.23
Ca: 0.1686 0.5000 0.3356  6 Te 3.12-3.20
Ce: 0.1689 0.5000 0.8387  6 Te 3.18-3.23
Tm: 0.0000 0.0000 0.5000  6 Te 3.09-3.10
Te: 0.0012 0.5000 0.2602  2 Tm 3.10, 3 Ca 3.18-3.23, 1 Ce 3.23
Te: 0.1628 0.0000 0.5786  1 Tm 3.09, 3 Ca 3.14-3.20, 2 Ce 3.21
Te: 0.1636 0.0000 0.0894  3 Ca 3.10-3.12, 3 Ce 3.18-3.19